Density functional theory data (PBE) for an optimized crystal structure of Cs2PaBr2F4.

Properties
DFT total energy ... -47.6 eV/cell
Size of the total moment ... 1.00 μB/f.u.
Space-group type ... No. 139

Unit cell a=7.3584 b=7.3584 c=7.3584 alpha=92.33 beta=118.66 gamma=118.66
With the nearest neighbours (Å) after each atom.
Element x y z (fractional)
1 Pa 0.0000 0.0000 0.0000  4 F 2.16
2 Br 0.0000 0.7156 0.7156  1 Pa 2.90
3 Br 0.0000 0.2844 0.2844  1 Pa 2.90
4 F 0.0000 0.2033 0.7967  1 Pa 2.16
5 F 0.5933 0.7967 0.7967  1 Pa 2.16
6 F 0.0000 0.7967 0.2033  1 Pa 2.16
7 F 0.4067 0.2033 0.2033  1 Pa 2.16
8 Cs 0.5000 0.2500 0.7500  8 F 3.71, 4 Br 3.77
9 Cs 0.5000 0.7500 0.2500  8 F 3.71, 4 Br 3.77

Density functional theory data (PBE) for an optimized crystal structure of Be2TlSe.

Properties
DFT total energy ... -11.7 eV/cell
Size of the total moment ... 0.00 μB/f.u.
Energy above the lowest structure with this stoichiometry ... 365 meV/atom
Space-group type ... No. 10

Unit cell a=3.5597 b=6.4888 c=5.3728 alpha=33.05 beta=90.00 gamma=90.00
With the nearest neighbours (Å) after each atom.
Element x y z (fractional)
1 Be 0.0000 0.0000 0.0000  4 Se 2.51, 2 Tl 2.69
2 Be 0.5000 0.5000 0.0000  4 Tl 2.51, 2 Se 2.69
3 Tl 0.0000 0.0000 0.5000  6 Be 2.51-2.69
4 Se 0.5000 0.5000 0.5000  6 Be 2.51-2.69

Density functional theory data (PBE) for an optimized crystal structure of La2ZnTe.

Properties
DFT total energy ... -17.5 eV/cell
Size of the total moment ... 0.00 μB/f.u.
Energy above the lowest structure with this stoichiometry ... 74 meV/atom
Space-group type ... No. 65

Unit cell a=5.4657 b=5.4657 c=3.8790 alpha=90.00 beta=90.00 gamma=99.43
With the nearest neighbours (Å) after each atom.
Element x y z (fractional)
1 La 0.5000 0.5000 0.0000  4 Te 3.35, 4 Zn 3.35, 2 La 3.53
2 La 0.0000 0.0000 0.0000  4 Zn 3.35, 4 Te 3.35, 2 La 3.53
3 Te 0.5000 0.0000 0.5000  8 La 3.35, 2 Zn 3.53
4 Zn 0.0000 0.5000 0.5000  8 La 3.35, 2 Te 3.53

Density functional theory data (PBE) for an optimized crystal structure of Na4Ho3GaO8.

Properties
DFT total energy ... -101.8 eV/cell
Size of the total moment ... 0.00 μB/f.u.
Space-group type ... No. 166

Unit cell a=6.6359 b=6.7535 c=6.6365 alpha=119.42 beta=120.00 gamma=90.00
With the nearest neighbours (Å) after each atom.
Element x y z (fractional)
1 Na 0.5000 0.0000 0.5000  6 O 2.47-2.50
2 Na 0.5000 0.0000 0.0000  6 O 2.59
3 Na 0.0000 0.0000 0.0000  6 O 2.47-2.50
4 Na 0.0000 0.0000 0.5000  6 O 2.47-2.50
5 Ho 0.5000 0.5000 0.5000  6 O 2.25-2.28
6 Ho 0.5000 0.5000 0.0000  6 O 2.25-2.28
7 Ho 0.0000 0.5000 0.5000  6 O 2.25-2.28
8 O 0.2271 0.7080 0.4542  1 Ga 2.15, 2 Ho 2.28
9 O 0.7729 0.2920 0.5458  1 Ga 2.15, 2 Ho 2.28
10 O 0.2271 0.7080 0.9809  1 Ga 2.15, 2 Ho 2.28
11 O 0.2461 0.2920 0.0191  1 Ga 2.15, 2 Ho 2.28
12 O 0.2630 0.2890 0.5260  3 Ho 2.25, 3 Na 2.50
13 O 0.7539 0.7080 0.9809  1 Ga 2.15, 2 Ho 2.28
14 O 0.7729 0.2920 0.0191  1 Ga 2.15, 2 Ho 2.28
15 O 0.7370 0.7110 0.4740  3 Ho 2.25, 3 Na 2.50
16 Ga 0.0000 0.5000 0.0000  6 O 2.15

Number 1: raw formation energy -2836 meV per atom. Number 2: raw formation energy 406 meV per atom. Number 3: raw formation energy -807 meV per atom. Number 4: raw formation energy -2506 meV per atom.